Record 1
! CdCoPCl2 PBE-GGA optimized geometry; values from VASP
&SYSTEM
  ibrav = 0, nat = 5, ntyp = 4
/
ATOMIC_SPECIES
Cd 112.41 Cd.upf
Co 58.93 Co.upf
P 30.97 P.upf
Cl 35.45 Cl.upf
ATOMIC_POSITIONS angstrom
Cd 0.0000 0.0000 0.0000
Co 2.3798 2.3798 2.1926
P 2.3798 2.3798 0.0000
Cl 0.0000 2.3798 2.1926
Cl 2.3798 0.0000 2.1926
CELL_PARAMETERS angstrom
4.7596 0.0000 0.0000
0.0000 4.7596 0.0000
0.0000 0.0000 4.3853
! ΔE to the lowest computed polymorph, kcal/mol of atoms: 0.00
! Uncorrected formation energy, eV per atom: 0.04

---

Record 2
! SrFe2Ru PBE-GGA optimized geometry; values from VASP
&SYSTEM
  ibrav = 0, nat = 4, ntyp = 3
/
ATOMIC_SPECIES
Sr 87.62 Sr.upf
Fe 55.84 Fe.upf
Ru 101.07 Ru.upf
ATOMIC_POSITIONS angstrom
Sr 0.0000 0.0000 0.0000
Fe 0.0000 0.0000 3.6442
Fe 1.5755 1.5755 2.4623
Ru 1.5755 1.5755 4.8994
CELL_PARAMETERS angstrom
3.1510 0.0000 0.0000
0.0000 3.1510 0.0000
0.0000 0.0000 7.2468
! VASP energy, eV per atom: -6.472

---

Record 3
! ZrNiSn PBE-GGA optimized geometry; values from VASP
&SYSTEM
  ibrav = 0, nat = 6, ntyp = 3
/
ATOMIC_SPECIES
Zr 91.22 Zr.upf
Ni 58.69 Ni.upf
Sn 118.71 Sn.upf
ATOMIC_POSITIONS angstrom
Zr 1.9354 3.1477 4.2208
Zr 1.9354 -3.1477 1.4069
Ni 1.9354 0.0000 0.0000
Ni 1.9354 0.0000 2.8139
Sn 1.9354 4.1720 1.4069
Sn 1.9354 -4.1720 4.2208
CELL_PARAMETERS angstrom
1.9354 -5.1550 0.0000
1.9354 5.1550 0.0000
0.0000 0.0000 5.6278
! VASP energy, eV per atom: -6.472

---

Record 4
! Sc2FeSnB PBE-GGA optimized geometry; values from VASP
&SYSTEM
  ibrav = 0, nat = 5, ntyp = 4
/
ATOMIC_SPECIES
Sc 44.96 Sc.upf
Fe 55.84 Fe.upf
Sn 118.71 Sn.upf
B 10.81 B.upf
ATOMIC_POSITIONS angstrom
Sc 0.0000 2.3069 0.0000
Sc 2.3069 0.0000 0.0000
Fe 0.0000 0.0000 2.1846
Sn 2.3069 2.3069 2.1846
B 2.3069 2.3069 0.0000
CELL_PARAMETERS angstrom
4.6138 0.0000 0.0000
0.0000 4.6138 0.0000
0.0000 0.0000 4.3692
! VASP energy, eV per atom: -6.179

---

Record 5
! Mg2Cr3NiS8 PBE-GGA optimized geometry; values from VASP
&SYSTEM
  ibrav = 0, nat = 14, ntyp = 4
/
ATOMIC_SPECIES
Mg 24.30 Mg.upf
Cr 52.00 Cr.upf
Ni 58.69 Ni.upf
S 32.06 S.upf
ATOMIC_POSITIONS angstrom
Mg 0.0000 0.0000 2.1781
Mg 0.0000 0.0000 15.3594
Cr -1.7898 -1.0334 5.8458
Cr -1.7898 1.0334 11.6917
Cr 0.0000 2.0667 5.8458
Ni 0.0000 0.0000 8.7688
S 0.0000 0.0000 4.6040
S 0.0000 -1.8120 7.2511
S -1.5692 0.9060 7.2511
S -1.5692 -0.9060 10.2864
S 1.5692 0.9060 7.2511
S 1.5692 -0.9060 10.2864
S 0.0000 1.8120 10.2864
S 0.0000 0.0000 12.9335
CELL_PARAMETERS angstrom
3.5797 2.0667 5.8458
-3.5797 2.0667 5.8458
0.0000 -4.1334 5.8458
! Uncorrected formation energy, eV per atom: -0.80

---

Record 6
! ThMgAl2Au4 PBE-GGA optimized geometry; values from VASP
&SYSTEM
  ibrav = 0, nat = 8, ntyp = 4
/
ATOMIC_SPECIES
Th 232.04 Th.upf
Mg 24.30 Mg.upf
Al 26.98 Al.upf
Au 196.97 Au.upf
ATOMIC_POSITIONS angstrom
Th 0.0000 0.0000 0.0000
Mg 0.0000 0.0000 13.4657
Al 0.0000 0.0000 6.4524
Al 0.0000 0.0000 20.4791
Au 0.0000 0.0000 3.4702
Au 0.0000 0.0000 10.6434
Au 0.0000 0.0000 16.2881
Au 0.0000 0.0000 23.4613
CELL_PARAMETERS angstrom
2.2469 1.2972 8.9772
-2.2469 1.2972 8.9772
0.0000 -2.5944 8.9772
! VASP energy, eV per atom: -4.293

---

Record 7
! Tb2PmNd3Tm6 PBE-GGA optimized geometry; values from VASP
&SYSTEM
  ibrav = 0, nat = 12, ntyp = 4
/
ATOMIC_SPECIES
Tb 158.93 Tb.upf
Pm 145.00 Pm.upf
Nd 144.24 Nd.upf
Tm 168.93 Tm.upf
ATOMIC_POSITIONS angstrom
Tb 3.0920 3.5686 0.0000
Tb 3.0920 -3.5686 0.0000
Pm 3.0920 0.0000 0.0000
Nd -1.0265 0.0000 5.7583
Nd 2.0655 1.7855 5.7583
Nd 2.0655 -1.7855 5.7583
Tm 0.0034 1.7857 8.6620
Tm 1.0330 0.0000 2.8550
Tm 0.0034 -1.7857 8.6620
Tm 4.1277 1.7857 2.8546
Tm 3.0981 0.0000 8.6615
Tm 4.1277 -1.7857 2.8546
CELL_PARAMETERS angstrom
3.0920 -5.3533 0.0000
3.0920 5.3533 0.0000
-2.0530 0.0000 11.5166
! VASP energy, eV per atom: -4.577

---

Record 8
! Ho6Bi3Sb2Se PBE-GGA optimized geometry; values from VASP
&SYSTEM
  ibrav = 0, nat = 12, ntyp = 4
/
ATOMIC_SPECIES
Ho 164.93 Ho.upf
Bi 208.98 Bi.upf
Sb 121.76 Sb.upf
Se 78.96 Se.upf
ATOMIC_POSITIONS angstrom
Ho -0.4829 0.0000 2.0550
Ho 17.4821 0.0000 6.4530
Ho 5.4692 0.0000 3.5773
Ho 4.5968 0.0000 7.7890
Ho 12.4024 0.0000 0.7190
Ho 11.5300 0.0000 4.9307
Bi 1.5116 0.0000 7.1028
Bi 8.4996 0.0000 4.2540
Bi 15.4876 0.0000 1.4051
Sb 2.4779 0.0000 2.8179
Sb 14.5213 0.0000 5.6900
Se 9.5055 0.0000 0.0000
CELL_PARAMETERS angstrom
9.5055 -2.1847 0.0000
9.5055 2.1847 0.0000
-2.0118 0.0000 8.5080
! Uncorrected formation energy, eV per atom: -1.07

---

no.,magnetization (Bohr magnetons per cell),D(E_F) (states/eV per cell)
1,0.0,2.5
2,5.5,3.7
3,0.0,6.0
4,2.2,4.2
5,8.1,2.1
6,0.0,3.4
7,0.0,13.7
8,0.0,2.0